A plane-wave DFT calculation with PBE was carried out for a relaxed Ta6Co7 crystal.

Geometry as POSCAR:
```
Ta6Co7
1.0
9.160 0.002 0.001
7.870 4.687 0.001
7.870 2.167 4.156
Co Ta
7 6
Cartesian
14.771 2.817 1.709 Co
14.132 3.891 3.769 Co
14.132 5.141 1.709 Co
10.129 4.039 2.450 Co
10.769 1.715 2.450 Co
10.769 2.965 0.389 Co
12.450 3.428 2.079 Co
23.631 6.506 3.946 Ta
1.270 0.350 0.212 Ta
20.987 5.778 3.505 Ta
3.914 1.078 0.654 Ta
16.544 4.555 2.763 Ta
8.356 2.301 1.396 Ta
```

Results
ΔE_f: -0.252 eV per atom
Mass density: 13952 kg/m3
M_tot: 0.05 μB per cell

***

A plane-wave DFT calculation with PBE was carried out for a relaxed TaCo3 crystal.

Geometry as POSCAR:
```
TaCo3
1.0
5.166 0.000 0.000
-2.583 4.474 0.000
0.000 0.000 4.158
Ta Co
2 6
Cartesian
0.000 2.983 1.040 Ta
2.583 1.491 3.119 Ta
3.942 0.707 1.040 Co
2.583 3.060 1.040 Co
1.224 0.707 1.040 Co
-1.359 3.767 3.119 Co
0.000 1.414 3.119 Co
1.359 3.767 3.119 Co
```

Results
ΔE_f: -0.226 eV per atom
Mass density: 12361 kg/m3
M_tot: 0.82 μB per cell